1.
! GGA-PBE CrMo2Cl, optimized geometry; values from VASP
! - Volume: 64.1 Å³/cell
! - Formation energy from raw total energies: 357 meV/atom
! - Crystal system: orthorhombic
! - D(E_F): 4.311 states/eV/cell
&SYSTEM
  ibrav = 0, nat = 4, ntyp = 3
/
ATOMIC_SPECIES
Mo 95.94 Mo.upf
Cl 35.45 Cl.upf
Cr 52.00 Cr.upf
ATOMIC_POSITIONS crystal
Mo 0.000 0.000 0.992
Mo 0.500 0.500 0.236
Cl 0.000 0.000 0.521
Cr 0.500 0.500 0.750
CELL_PARAMETERS angstrom
-1.259 0.513 2.553
1.843 -2.229 0.039
6.238 5.196 2.032

---

2.
! GGA-PBE CrMo2Cl, optimized geometry; values from VASP
! - Volume: 65.4 Å³/cell
! - Formation energy from raw total energies: 343 meV/atom
! - Crystal system: trigonal
! - D(E_F): 4.101 states/eV/cell
&SYSTEM
  ibrav = 0, nat = 4, ntyp = 3
/
ATOMIC_SPECIES
Mo 95.94 Mo.upf
Cr 52.00 Cr.upf
Cl 35.45 Cl.upf
ATOMIC_POSITIONS crystal
Mo 0.001 0.001 0.001
Mo 0.257 0.257 0.257
Cr 0.750 0.750 0.750
Cl 0.492 0.492 0.492
CELL_PARAMETERS angstrom
-1.530 0.671 8.120
1.492 0.247 8.151
0.347 3.041 7.704

---

3.
! GGA-PBE CrMo2Cl, optimized geometry; values from VASP
! - Volume: 58.3 Å³/cell
! - Formation energy from raw total energies: 880 meV/atom
! - Crystal system: cubic
! - D(E_F): 4.557 states/eV/cell
&SYSTEM
  ibrav = 0, nat = 4, ntyp = 3
/
ATOMIC_SPECIES
Cl 35.45 Cl.upf
Mo 95.94 Mo.upf
Cr 52.00 Cr.upf
ATOMIC_POSITIONS crystal
Cl 0.000 0.000 0.000
Mo 0.250 0.250 0.250
Mo 0.750 0.750 0.750
Cr 0.500 0.500 0.500
CELL_PARAMETERS angstrom
-4.328 0.290 0.350
-2.284 2.174 -2.999
-2.557 -2.163 -2.778

---

4.
! GGA-PBE Cr2MoCl, optimized geometry; values from VASP
! - Volume: 58.8 Å³/cell
! - Formation energy from raw total energies: 905 meV/atom
! - Crystal system: cubic
! - D(E_F): 4.196 states/eV/cell
&SYSTEM
  ibrav = 0, nat = 4, ntyp = 3
/
ATOMIC_SPECIES
Cl 35.45 Cl.upf
Cr 52.00 Cr.upf
Mo 95.94 Mo.upf
ATOMIC_POSITIONS crystal
Cl 0.500 0.500 0.500
Cr 0.250 0.250 0.250
Cr 0.000 0.000 0.000
Mo 0.750 0.750 0.750
CELL_PARAMETERS angstrom
-1.629 1.671 -3.690
-4.205 -0.613 -1.004
-2.795 3.350 0.168

---

Number 1: ρ 7235 kg/m3. Number 2: ρ 7097 kg/m3. Number 3: ρ 7960 kg/m3. Number 4: ρ 6642 kg/m3.